Record 1
# In2Pb PBEsol optimized geometry
# Energy above the lowest structure with this stoichiometry = 2 meV/atom
data_In2Pb
_chemical_formula_sum 'In8 Pb4'
_cell_length_a 6.7053
_cell_length_b 4.7956
_cell_length_c 10.0473
_cell_angle_alpha 90.00
_cell_angle_beta 90.00
_cell_angle_gamma 90.00
_space_group_name_H-M_alt 'P n m a'
_space_group_IT_number 62
loop_
_space_group_symop_operation_xyz
'x,y,z'
'-x,-y,-z'
'-x+1/2,-y,z+1/2'
'x+1/2,y,-z+1/2'
'x+1/2,-y+1/2,-z+1/2'
'-x+1/2,y+1/2,z+1/2'
'-x,y+1/2,-z'
'x,-y+1/2,z'
loop_
_atom_site_label
_atom_site_type_symbol
_atom_site_fract_x
_atom_site_fract_y
_atom_site_fract_z
In1 In 0.1170 0.2500 0.2468
In2 In 0.1249 0.2500 0.9141
Pb1 Pb 0.1325 0.2500 0.5816

---

Record 2
A plane-wave DFT calculation with PBEsol was carried out for InPb3 after structural relaxation.

CIF file:
```
data_InPb3
_chemical_formula_sum 'In2 Pb6'
_cell_length_a 6.1676
_cell_length_b 6.1676
_cell_length_c 6.1676
_cell_angle_alpha 90.00
_cell_angle_beta 90.00
_cell_angle_gamma 90.00
_space_group_name_H-M_alt 'P m -3 n'
_space_group_IT_number 223
_space_group_name_Hall '-P 4n 2 3'
loop_
_atom_site_label
_atom_site_type_symbol
_atom_site_fract_x
_atom_site_fract_y
_atom_site_fract_z
In1 In 0.0000 0.0000 0.0000
Pb1 Pb 0.0000 0.2500 0.5000
```

---

Record 3
# In2Pb PBEsol optimized geometry
# Energy above the lowest structure with this stoichiometry = 0 meV/atom
data_In2Pb
_chemical_formula_sum 'In8 Pb4'
_cell_length_a 11.1702
_cell_length_b 3.3611
_cell_length_c 9.4512
_cell_angle_alpha 90.00
_cell_angle_beta 114.24
_cell_angle_gamma 90.00
_space_group_name_H-M_alt 'C 1 2/m 1'
_space_group_IT_number 12
loop_
_space_group_symop_operation_xyz
'x,y,z'
'-x,-y,-z'
'-x,y,-z'
'x,-y,z'
'x+1/2,y+1/2,z'
'-x+1/2,-y+1/2,-z'
'-x+1/2,y+1/2,-z'
'x+1/2,-y+1/2,z'
loop_
_atom_site_label
_atom_site_type_symbol
_atom_site_fract_x
_atom_site_fract_y
_atom_site_fract_z
In1 In 0.0000 0.0000 0.0000
In2 In 0.0000 0.0000 0.5000
In3 In 0.1637 0.5000 0.3391
Pb1 Pb 0.1683 0.5000 0.8280

---

no.,DFT total energy (eV/cell),formation enthalpy at 0 K (eV/atom)
1,-39.70,0.0129
2,-29.28,0.0845
3,-39.73,0.0107